The following is a DFT calculation (GGA-PBE) of crystalline K2SiAs at its relaxed geometry.

Computed properties:
The calculation puts the energy above the lowest structure with this stoichiometry at 15 meV per atom. For the calculated volume, the calculation gives 29.67 A^3/atom. As for the density of states at the Fermi level: 1.97 states/eV/f.u. The value obtained for the uncorrected formation energy is -0.220 eV/atom. Its spin magnetization is 0.00 Bohr magnetons per cell. The density comes out at 2.536 g/cm3.

```
data_K2SiAs
_symmetry_space_group_name_H-M 'I m m 2'
_symmetry_Int_Tables_number 44
_cell_length_a 3.807
_cell_length_b 5.542
_cell_length_c 11.248
_cell_angle_alpha 90.00
_cell_angle_beta 90.00
_cell_angle_gamma 90.00
loop_
_symmetry_equiv_pos_as_xyz
'x,y,z'
'-x,-y,z'
'-x,y,z'
'x,-y,z'
'x+1/2,y+1/2,z+1/2'
'-x+1/2,-y+1/2,z+1/2'
'-x+1/2,y+1/2,z+1/2'
'x+1/2,-y+1/2,z+1/2'
loop_
_atom_site_label
_atom_site_type_symbol
_atom_site_fract_x
_atom_site_fract_y
_atom_site_fract_z
K1 K 0.000 0.000 0.000
K2 K 0.000 0.500 0.197
Si1 Si 0.000 0.500 0.782
As1 As 0.000 0.000 0.416
```

***

The following is a DFT calculation (GGA-PBE) of crystalline TlCr2Co4 at its relaxed geometry.

Computed properties:
For the calculated volume, the calculation gives 18.25 A^3/atom. As for the density of states at the Fermi level: 9.74 states/eV/f.u. For the energy of formation from the pure elements, the calculation gives 1.65 eV/atom. Its spin magnetization is 17.73 Bohr magnetons per cell. The density comes out at 7.074 g/cm3.

```
data_TlCr2Co4
_symmetry_space_group_name_H-M 'I 4/m m m'
_symmetry_Int_Tables_number 139
_symmetry_space_group_name_Hall '-I 4 2'
_cell_length_a 4.649
_cell_length_b 4.649
_cell_length_c 11.820
_cell_angle_alpha 90.00
_cell_angle_beta 90.00
_cell_angle_gamma 90.00
loop_
_atom_site_label
_atom_site_type_symbol
_atom_site_fract_x
_atom_site_fract_y
_atom_site_fract_z
Tl1 Tl 0.000 0.000 0.000
Cr1 Cr 0.000 0.000 0.401
Co1 Co 0.000 0.000 0.221
Co2 Co 0.000 0.500 0.000
```

***

The following is a DFT calculation (GGA-PBE) of crystalline CeEr2RhN4 at its relaxed geometry.

Computed properties:
For the calculated volume, the calculation gives 14.01 A^3/atom. As for the density of states at the Fermi level: 3.18 states/eV/f.u. The value obtained for the uncorrected formation energy is -1.088 eV/atom. Its spin magnetization is 0.00 Bohr magnetons per cell. The density comes out at 9.385 g/cm3.

```
data_CeEr2RhN4
_symmetry_space_group_name_H-M 'C m c m'
_symmetry_Int_Tables_number 63
_symmetry_space_group_name_Hall '-C 2c 2'
_cell_length_a 3.365
_cell_length_b 11.603
_cell_length_c 11.486
_cell_angle_alpha 90.00
_cell_angle_beta 90.00
_cell_angle_gamma 90.00
loop_
_atom_site_label
_atom_site_type_symbol
_atom_site_fract_x
_atom_site_fract_y
_atom_site_fract_z
Ce1 Ce 0.000 0.116 0.250
Er1 Er 0.000 0.371 0.048
Rh1 Rh 0.000 0.145 0.750
N1 N 0.000 0.000 0.000
N2 N 0.000 0.276 0.628
N3 N 0.000 0.460 0.250
```

***

The following is a DFT calculation (GGA-PBE) of crystalline InSe3S at its relaxed geometry.

Computed properties:
The calculation puts the energy above the lowest structure with this stoichiometry at 555 meV per atom. For the calculated volume, the calculation gives 29.72 A^3/atom. As for the density of states at the Fermi level: 7.28 states/eV/f.u. The value obtained for the uncorrected formation energy is 0.856 eV/atom. Its spin magnetization is 2.68 Bohr magnetons per cell. The density comes out at 4.289 g/cm3.

```
data_InSe3S
_symmetry_space_group_name_H-M 'P m -3 m'
_symmetry_Int_Tables_number 221
_symmetry_space_group_name_Hall '-P 4 2 3'
_cell_length_a 5.297
_cell_length_b 5.297
_cell_length_c 5.297
_cell_angle_alpha 90.00
_cell_angle_beta 90.00
_cell_angle_gamma 90.00
loop_
_atom_site_label
_atom_site_type_symbol
_atom_site_fract_x
_atom_site_fract_y
_atom_site_fract_z
In1 In 0.000 0.000 0.000
Se1 Se 0.000 0.000 0.500
S1 S 0.500 0.500 0.500
```

***

The following is a DFT calculation (GGA-PBE) of crystalline Pu2In8Ga at its relaxed geometry.

Computed properties:
For the calculated volume, the calculation gives 25.63 A^3/atom. As for the density of states at the Fermi level: 24.35 states/eV/f.u. For the energy of formation from the pure elements, the calculation gives -0.13 eV/atom. Its spin magnetization is 11.48 Bohr magnetons per cell. The density comes out at 8.695 g/cm3.

```
data_Pu2In8Ga
_symmetry_space_group_name_H-M 'P 4/m m m'
_symmetry_Int_Tables_number 123
_symmetry_space_group_name_Hall '-P 4 2'
_cell_length_a 4.849
_cell_length_b 4.849
_cell_length_c 11.990
_cell_angle_alpha 90.00
_cell_angle_beta 90.00
_cell_angle_gamma 90.00
loop_
_atom_site_label
_atom_site_type_symbol
_atom_site_fract_x
_atom_site_fract_y
_atom_site_fract_z
Pu1 Pu 0.000 0.000 0.190
In1 In 0.000 0.500 0.000
In2 In 0.000 0.500 0.368
In3 In 0.500 0.500 0.188
Ga1 Ga 0.000 0.000 0.500
```

***

The following is a DFT calculation (GGA-PBE) of crystalline Mo2RhN at its relaxed geometry.

Computed properties:
For the calculated volume, the calculation gives 12.70 A^3/atom. As for the density of states at the Fermi level: 2.97 states/eV/f.u. The value obtained for the uncorrected formation energy is -0.188 eV/atom. Its spin magnetization is 0.00 Bohr magnetons per cell. The density comes out at 10.094 g/cm3.

```
data_Mo2RhN
_symmetry_space_group_name_H-M 'R 3 m'
_symmetry_Int_Tables_number 160
_symmetry_space_group_name_Hall 'R 3 -2"'
_cell_length_a 2.8382
_cell_length_b 2.8382
_cell_length_c 21.8458
_cell_angle_alpha 90.00
_cell_angle_beta 90.00
_cell_angle_gamma 120.00
loop_
_atom_site_label
_atom_site_type_symbol
_atom_site_fract_x
_atom_site_fract_y
_atom_site_fract_z
Mo1 Mo 0.0000 0.0000 0.0000
Mo2 Mo 0.0000 0.0000 0.2044
Rh1 Rh 0.0000 0.0000 0.4391
N1 N 0.0000 0.0000 0.6008
```

***

The following is a DFT calculation (GGA-PBE) of crystalline Rb3Tb3CeTe8 at its relaxed geometry.

Computed properties:
For the calculated volume, the calculation gives 40.61 A^3/atom. As for the density of states at the Fermi level: 0.06 states/eV/f.u. The value obtained for the uncorrected formation energy is -1.350 eV/atom. Its spin magnetization is 0.29 Bohr magnetons per cell. The density comes out at 5.163 g/cm3.

```
data_Rb3Tb3CeTe8
_symmetry_space_group_name_H-M 'R -3 m'
_symmetry_Int_Tables_number 166
_symmetry_space_group_name_Hall '-R 3 2"'
_cell_length_a 8.9903
_cell_length_b 8.9903
_cell_length_c 26.1079
_cell_angle_alpha 90.00
_cell_angle_beta 90.00
_cell_angle_gamma 120.00
loop_
_atom_site_label
_atom_site_type_symbol
_atom_site_fract_x
_atom_site_fract_y
_atom_site_fract_z
Rb1 Rb 0.0000 0.5000 0.0000
Tb1 Tb 0.0000 0.5000 0.5000
Ce1 Ce 0.0000 0.0000 0.5000
Te1 Te 0.0000 0.0000 0.2332
Te2 Te 0.0012 0.5006 0.7674
```

***

The following is a DFT calculation (GGA-PBE) of crystalline HfZrHg at its relaxed geometry.

Computed properties:
The calculation puts the energy above the lowest structure with this stoichiometry at 0 meV per atom. For the calculated volume, the calculation gives 22.24 A^3/atom. As for the density of states at the Fermi level: 2.76 states/eV/f.u. For the energy of formation from the pure elements, the calculation gives -0.13 eV/atom. Its spin magnetization is 0.00 Bohr magnetons per cell. The density comes out at 11.706 g/cm3.

```
data_HfZrHg
_symmetry_space_group_name_H-M 'I 4 m m'
_symmetry_Int_Tables_number 107
_symmetry_space_group_name_Hall 'I 4 -2'
_cell_length_a 3.360
_cell_length_b 3.360
_cell_length_c 11.817
_cell_angle_alpha 90.00
_cell_angle_beta 90.00
_cell_angle_gamma 90.00
loop_
_atom_site_label
_atom_site_type_symbol
_atom_site_fract_x
_atom_site_fract_y
_atom_site_fract_z
Hf1 Hf 0.000 0.000 0.000
Zr1 Zr 0.000 0.000 0.330
Hg1 Hg 0.000 0.000 0.662
```